A relaxed Cs2InCl crystal, computed with PBE-GGA.

a b c (Å): 6.4884 6.4884 6.4884
angles (deg): 60.00 60.00 60.00
With the nearest neighbours (Å) after each atom.
Fractional positions:
Cs1 0.2500 0.2500 0.2500  4 In 3.97, 4 Cl 3.97
Cs2 0.7500 0.7500 0.7500  4 In 3.97, 4 Cl 3.97
Cl1 0.0000 0.0000 0.0000  8 Cs 3.97
In1 0.5000 0.5000 0.5000  8 Cs 3.97

Summary:
Its space-group type is Fm-3m, No. 225. For the spin magnetization, the calculation gives 2.0 μB per formula unit. The final energy is -0.0786 hartree per atom.